Entry 1:
A plane-wave DFT calculation with PBE was carried out for a geometry-optimized TlNi2P structure.

Lattice parameters (Å, degrees): 6.4163 3.7387 5.9401 90.00 93.92 90.00
Space group C2/m (No. 12)
One atom of each set of equivalent atoms:
1 Tl 0.0000 0.0000 0.0000
2 Ni 0.1747 0.0000 0.6053
3 P 0.0000 0.5000 0.5000

Crystal system: monoclinic
Formation energy from the elements, eV/atom: -0.1666
Total magnetization, μB/cell: 0.0



Entry 2:
A plane-wave DFT calculation with PBE was carried out for a geometry-optimized TbZn3Pd2 structure.

Lattice parameters (Å, degrees): 13.8508 4.1691 8.3889 90.00 119.28 90.00
Space group C2/m (No. 12)
One atom of each set of equivalent atoms:
1 Tb 0.1345 0.0000 0.0197
2 Zn 0.0525 0.0000 0.3884
3 Zn 0.0906 0.5000 0.7059
4 Zn 0.2114 0.5000 0.5362
5 Pd 0.0585 0.5000 0.1920
6 Pd 0.2117 0.0000 0.7308

Crystal system: monoclinic
Formation energy from the elements, eV/atom: -0.5283
Total magnetization, μB/cell: 0.0



Entry 3:
A plane-wave DFT calculation with PBE was carried out for a geometry-optimized TcP2Ru structure.

Lattice parameters (Å, degrees): 2.8916 5.1771 7.5660 90.00 90.00 90.00
Space group Cmmm (No. 65)
One atom of each set of equivalent atoms:
1 Tc 0.0000 0.0000 0.0000
2 P 0.0000 0.5000 0.2504
3 Ru 0.0000 0.0000 0.5000

Crystal system: orthorhombic
Formation energy from the elements, eV/atom: 0.0990
Energy relative to the lowest polymorph listed for this composition, kJ per mole of atoms: 46.18
Total magnetization, μB/cell: 0.0



Entry 4:
A plane-wave DFT calculation with PBE was carried out for a geometry-optimized PtRhN structure.

Lattice parameters (Å, degrees): 2.7298 4.8897 7.2135 81.88 79.10 77.44
Space group P1 (No. 1)
One atom of each set of equivalent atoms:
1 Pt 0.0000 0.0000 0.0000
2 Pt 0.3615 0.4535 0.8127
3 Rh 0.3513 0.9536 0.3441
4 Rh 0.7024 0.9218 0.6892
5 N 0.3514 0.3382 0.3414
6 N 0.3525 0.5691 0.3434

Crystal system: triclinic
Energy relative to the lowest polymorph listed for this composition, kJ per mole of atoms: 15.01
Total magnetization, μB/cell: 0.0



Entry 5:
A plane-wave DFT calculation with PBE was carried out for a geometry-optimized PmInAs structure.

Lattice parameters (Å, degrees): 4.5660 4.5660 4.4846 90.00 90.00 120.00
Space group P3m1 (No. 156)
One atom of each set of equivalent atoms:
1 Pm 0.0000 0.0000 0.0000
2 In 0.3333 0.6667 0.5612
3 As 0.6667 0.3333 0.3355

Crystal system: trigonal
Formation energy from the elements, eV/atom: -0.5079
Energy relative to the lowest polymorph listed for this composition, kJ per mole of atoms: 20.92
Total magnetization, μB/cell: 0.0



Entry 6:
A plane-wave DFT calculation with PBE was carried out for a geometry-optimized AcReCl2O4 structure.

Lattice parameters (Å, degrees): 10.7260 10.5043 5.9074 90.00 115.62 90.00
Space group C2/c (No. 15)
One atom of each set of equivalent atoms:
1 Ac 0.2500 0.2500 0.0000
2 Re 0.0000 0.0000 0.0000
3 Cl 0.0000 0.5000 0.0000
4 Cl 0.2500 0.2500 0.5000
5 O 0.0405 0.1708 0.5788
6 O 0.1825 0.0364 0.1023

Crystal system: monoclinic
Total magnetization, μB/cell: 2.9
Final energy, eV/atom: -6.515



Entry 7:
A plane-wave DFT calculation with PBE was carried out for a geometry-optimized NaTe2Pt structure.

Lattice parameters (Å, degrees): 4.0906 4.0906 22.5522 90.00 90.00 120.00
Space group R3m (No. 160, hexagonal axes)
One atom of each set of equivalent atoms:
1 Na 0.0000 0.0000 0.0000
2 Te 0.0000 0.0000 0.2314
3 Te 0.0000 0.0000 0.4398
4 Pt 0.0000 0.0000 0.8361

Crystal system: trigonal
Energy relative to the lowest polymorph listed for this composition, kJ per mole of atoms: 0.00
Total magnetization, μB/cell: 0.0



Entry 8:
A plane-wave DFT calculation with PBE was carried out for a geometry-optimized DyTh3 structure.

Lattice parameters (Å, degrees): 5.0334 5.0334 10.1248 90.00 90.00 90.00
Space group I4/mmm (No. 139)
One atom of each set of equivalent atoms:
1 Dy 0.0000 0.0000 0.0000
2 Th 0.0000 0.0000 0.5000
3 Th 0.0000 0.5000 0.2500

Crystal system: tetragonal
Formation energy from the elements, eV/atom: 0.0463
Energy relative to the lowest polymorph listed for this composition, kJ per mole of atoms: 6.24
Total magnetization, μB/cell: 0.0